1 | An optimized crystal structure of LaRe2Br, computed with PBE.

Cell: 3.2292 3.2292 8.4400 Å, 90.00 90.00 90.00°
With the nearest neighbours (Å) after each atom.
Atoms (fractional coordinates):
1 La 0.0000 0.0000 0.0000  4 Br 3.14, 4 La 3.23, 4 Re 3.25
2 Re 0.0000 0.0000 0.4178  4 Re 2.58
3 Re 0.5000 0.5000 0.2745  4 Re 2.58
4 Br 0.5000 0.5000 0.7455  4 La 3.14, 4 Br 3.23

## Properties
The crystal system is tetragonal.


2 | An optimized crystal structure of LaRe2Br, computed with PBE.

Cell: 4.8026 4.8026 4.8026 Å, 60.00 60.00 60.00°
With the nearest neighbours (Å) after each atom.
Atoms (fractional coordinates):
1 La 0.0000 0.0000 0.0000  8 Re 2.94
2 Re 0.2500 0.2500 0.2500  4 La 2.94, 4 Br 2.94
3 Re 0.7500 0.7500 0.7500  4 La 2.94, 4 Br 2.94
4 Br 0.5000 0.5000 0.5000  8 Re 2.94

## Properties
The crystal system is cubic.


Most stable pick: 1. Distance to second place: 1437 meV/atom.


1 | An optimized crystal structure of LaRe2Br, computed with PBE.

Cell: 5.6827 5.6827 5.6827 Å, 141.85 121.39 72.11°
With the nearest neighbours (Å) after each atom.
Atoms (fractional coordinates):
1 La 0.0000 0.0000 0.0000  4 Br 3.15-3.45, 6 Re 3.17-3.34
2 Re 0.3349 0.8349 0.5000  2 Re 2.38
3 Re 0.4967 0.4967 0.0000  2 Re 2.38
4 Br 0.7226 0.2226 0.5000  2 Re 2.79

## Properties
The crystal system is orthorhombic.


2 | An optimized crystal structure of LaRe2Br, computed with PBE.

Cell: 6.3979 6.3979 6.3979 Å, 144.89 144.89 50.49°
With the nearest neighbours (Å) after each atom.
Atoms (fractional coordinates):
1 La 0.0000 0.0000 0.0000  4 Br 2.73
2 Re 0.2500 0.7500 0.5000  4 Re 2.73
3 Re 0.7500 0.2500 0.5000  4 Re 2.73
4 Br 0.5000 0.5000 0.0000  4 La 2.73

## Properties
The crystal system is tetragonal.


Most stable pick: 1. Distance to second place: 151 meV/atom.